{
  "formula": "Al2FePd5",
  "functional": "PBE",
  "state": "relaxed",
  "crystal_system": "orthorhombic",
  "dft_energy_ry_per_atom": -0.427,
  "total_magnetization_mub_per_cell": 6.9,
  "formation_enthalpy_0k_ev_per_fu": -4.6,
  "cell": [[4.014, 0.000, 0.000], [0.000, 5.426, 0.000], [0.000, 0.000, 10.722]],
  "species": ["Al", "Al", "Al", "Al", "Fe", "Fe", "Pd", "Pd", "Pd", "Pd", "Pd", "Pd", "Pd", "Pd", "Pd", "Pd"],
  "frac_coords": [[0.500, 0.315, 0.362], [0.500, 0.685, 0.638], [0.500, 0.185, 0.862], [0.500, 0.815, 0.138], [0.000, 0.000, 0.500], [0.000, 0.500, 0.000], [0.500, 0.300, 0.111], [0.500, 0.700, 0.889], [0.500, 0.800, 0.389], [0.500, 0.200, 0.611], [0.000, 0.925, 0.737], [0.000, 0.075, 0.263], [0.000, 0.425, 0.763], [0.000, 0.575, 0.237], [0.000, 0.500, 0.500], [0.000, 0.000, 0.000]]
}